## TaMnRhO6 (PBE with a Hubbard U)

Data for a relaxed TaMnRhO6 crystal.

**Final energy**: -143.96 eV/cell
**DOS(E_F)**: 6.34 states/eV/cell

Cell and atoms, written as CIF:
```
data_TaMnRhO6
_chemical_formula_sum 'Ta2 Mn2 Rh2 O12'
_symmetry_space_group_name_H-M 'P 42 n m'
_symmetry_Int_Tables_number 102
_symmetry_space_group_name_Hall 'P 4n -2n'
_cell_length_a 4.6624
_cell_length_b 4.6624
_cell_length_c 9.2525
_cell_angle_alpha 90.00
_cell_angle_beta 90.00
_cell_angle_gamma 90.00
loop_
_atom_site_label
_atom_site_fract_x
_atom_site_fract_y
_atom_site_fract_z
_atom_site_occupancy
Ta1 0.0000 0.0000 0.0000 1
Mn1 0.0000 0.0000 0.6648 1
Rh1 0.0000 0.0000 0.3297 1
O1 0.1961 0.1961 0.4960 1
O2 0.1971 0.1971 0.8358 1
O3 0.2029 0.2029 0.1594 1
```